# 1
LiRuRh after structural relaxation. Source: Alexandria via LeMat-Bulk, functional PBE.

POSCAR file:
```
LiRuRh
1.0
4.407 0.000 0.000
0.000 4.003 2.299
0.000 -4.003 2.299
Li Ru Rh
2 2 2
Direct
0.000 0.164 0.836 Li
0.000 0.836 0.164 Li
0.500 0.484 0.820 Ru
0.500 0.820 0.484 Ru
0.000 0.505 0.505 Rh
0.500 0.155 0.155 Rh
```

Properties
Formation energy in eV per atom: 0.0580
Symmetry: No. 38
Crystal system: orthorhombic
DOS at the Fermi energy in states/eV/atom: 0.971
Distance to the lowest polymorph of the same formula in meV/atom: 30.6

---

# 2
Er3BiP2 after structural relaxation. Source: Alexandria via LeMat-Bulk, functional PBE.

POSCAR file:
```
Er3BiP2
1.0
2.469 -6.163 0.000
2.469 6.163 0.000
0.000 0.000 9.721
Er Bi P
6 2 4
Direct
0.094 0.906 0.750 Er
0.376 0.624 0.546 Er
0.376 0.624 0.954 Er
0.624 0.376 0.046 Er
0.624 0.376 0.454 Er
0.906 0.094 0.250 Er
0.218 0.782 0.250 Bi
0.782 0.218 0.750 Bi
0.000 0.000 0.000 P
0.000 0.000 0.500 P
0.471 0.529 0.250 P
0.529 0.471 0.750 P
```

Properties
Formation energy in eV per atom: -0.9390
Symmetry: No. 63
Crystal system: orthorhombic
DOS at the Fermi energy in states/eV/atom: 0.426

---

# 3
NaHgS2 after structural relaxation. Source: Alexandria via LeMat-Bulk, functional PBE.

POSCAR file:
```
NaHgS2
1.0
2.185 1.261 7.402
-2.185 1.261 7.402
0.000 -2.523 7.402
Na Hg S
1 1 2
Direct
0.000 0.000 0.000 Na
0.500 0.500 0.500 Hg
0.396 0.396 0.396 S
0.604 0.604 0.604 S
```

Properties
Symmetry: No. 166
DFT total energy in eV/cell: -10.75
Crystal system: trigonal
DOS at the Fermi energy in states/eV/atom: 1.042

---

# 4
InGaHg2 after structural relaxation. Source: Alexandria via LeMat-Bulk, functional PBE.

POSCAR file:
```
InGaHg2
1.0
8.971 0.000 0.000
0.000 7.315 0.000
0.000 0.000 6.093
In Ga Hg
4 4 8
Direct
0.026 0.250 0.131 In
0.474 0.750 0.631 In
0.526 0.250 0.369 In
0.974 0.750 0.869 In
0.064 0.750 0.357 Ga
0.436 0.250 0.857 Ga
0.564 0.750 0.143 Ga
0.936 0.250 0.643 Ga
0.207 0.027 0.624 Hg
0.207 0.473 0.624 Hg
0.293 0.527 0.124 Hg
0.293 0.973 0.124 Hg
0.707 0.027 0.876 Hg
0.707 0.473 0.876 Hg
0.793 0.527 0.376 Hg
0.793 0.973 0.376 Hg
```

Properties
Formation energy in eV per atom: 0.0436
Symmetry: No. 62
Crystal system: orthorhombic
DOS at the Fermi energy in states/eV/atom: 0.297

---

# 5
LaTb4Sm8 after structural relaxation. Source: Alexandria via LeMat-Bulk, functional PBE.

POSCAR file:
```
LaTb4Sm8
1.0
3.703 2.138 9.234
-3.703 2.138 9.234
0.000 -4.275 9.234
La Tb Sm
1 4 8
Direct
0.000 0.000 0.000 La
0.000 0.000 0.500 Tb
0.000 0.500 0.000 Tb
0.500 0.000 0.000 Tb
0.500 0.500 0.500 Tb
0.249 0.249 0.699 Sm
0.249 0.699 0.249 Sm
0.281 0.281 0.281 Sm
0.301 0.751 0.751 Sm
0.699 0.249 0.249 Sm
0.719 0.719 0.719 Sm
0.751 0.301 0.751 Sm
0.751 0.751 0.301 Sm
```

Properties
Formation energy in eV per atom: 0.1661
Symmetry: No. 166
Crystal system: trigonal
DOS at the Fermi energy in states/eV/atom: 1.207

---

# 6
Ca2Ni after structural relaxation. Source: Alexandria via LeMat-Bulk, functional PBE.

POSCAR file:
```
Ca2Ni
1.0
2.103 -9.952 0.000
2.103 9.952 0.000
0.000 0.000 4.051
Ca Ni
4 2
Direct
0.071 0.929 0.750 Ca
0.314 0.686 0.750 Ca
0.686 0.314 0.250 Ca
0.929 0.071 0.250 Ca
0.469 0.531 0.750 Ni
0.531 0.469 0.250 Ni
```

Properties
Formation energy in eV per atom: -0.1000
Symmetry: No. 63
Crystal system: orthorhombic
DOS at the Fermi energy in states/eV/atom: 0.744

---

# 7
Cs4CdHg2Bi2 after structural relaxation. Source: Alexandria via LeMat-Bulk, functional PBE.

POSCAR file:
```
Cs4CdHg2Bi2
1.0
7.645 -5.304 0.000
7.645 5.304 0.000
-0.705 0.000 5.787
Cs Cd Hg Bi
4 1 2 2
Direct
0.114 0.628 0.795 Cs
0.372 0.886 0.205 Cs
0.628 0.114 0.795 Cs
0.886 0.372 0.205 Cs
0.500 0.500 0.500 Cd
0.185 0.185 0.721 Hg
0.815 0.815 0.279 Hg
0.325 0.325 0.283 Bi
0.675 0.675 0.717 Bi
```

Properties
Formation energy in eV per atom: -0.3082
Symmetry: No. 12
Crystal system: monoclinic

---

# 8
Si2TeP after structural relaxation. Source: Alexandria via LeMat-Bulk, functional PBE.

POSCAR file:
```
Si2TeP
1.0
-1.657 2.407 4.909
1.657 -2.407 4.909
1.657 2.407 -4.909
Si Te P
2 1 1
Direct
0.000 0.000 0.000 Si
0.772 0.272 0.500 Si
0.327 0.827 0.500 Te
0.606 0.606 0.000 P
```

Properties
Symmetry: No. 44
Crystal system: orthorhombic
DOS at the Fermi energy in states/eV/atom: 0.424
Distance to the lowest polymorph of the same formula in meV/atom: 386.9

---

# 9
Pr4InHg3 after structural relaxation. Source: Alexandria via LeMat-Bulk, functional PBE.

POSCAR file:
```
Pr4InHg3
1.0
2.741 1.583 8.969
-2.741 1.583 8.969
0.000 -3.165 8.969
Pr In Hg
4 1 3
Direct
0.124 0.124 0.124 Pr
0.374 0.374 0.374 Pr
0.626 0.626 0.626 Pr
0.876 0.876 0.876 Pr
0.500 0.500 0.500 In
0.000 0.000 0.000 Hg
0.249 0.249 0.249 Hg
0.751 0.751 0.751 Hg
```

Properties
Formation energy in eV per atom: -0.4709
Symmetry: No. 166
Crystal system: trigonal
DOS at the Fermi energy in states/eV/atom: 1.105

---

# 10
LaBiSbBr2 after structural relaxation. Source: Alexandria via LeMat-Bulk, functional PBE.

POSCAR file:
```
LaBiSbBr2
1.0
5.415 0.000 0.000
0.000 5.415 0.000
0.000 0.000 6.681
La Bi Sb Br
1 1 1 2
Direct
0.000 0.000 0.000 La
0.500 0.500 0.000 Bi
0.000 0.000 0.500 Sb
0.000 0.500 0.500 Br
0.500 0.000 0.500 Br
```

Properties
Symmetry: No. 123
DFT total energy in eV/cell: -17.37
Crystal system: tetragonal
DOS at the Fermi energy in states/eV/atom: 0.424

---

# 11
Li5Mg5Al after structural relaxation. Source: Alexandria via LeMat-Bulk, functional PBE.

POSCAR file:
```
Li5Mg5Al
1.0
5.136 0.000 0.000
-2.568 4.448 0.000
0.000 0.000 9.634
Li Mg Al
5 5 1
Direct
0.000 0.000 0.229 Li
0.000 0.000 0.771 Li
0.343 0.171 0.000 Li
0.829 0.171 0.000 Li
0.829 0.657 0.000 Li
0.000 0.000 0.500 Mg
0.333 0.667 0.184 Mg
0.333 0.667 0.816 Mg
0.667 0.333 0.328 Mg
0.667 0.333 0.672 Mg
0.333 0.667 0.500 Al
```

Properties
Formation energy in eV per atom: 0.0782
Symmetry: No. 187
Crystal system: hexagonal
DOS at the Fermi energy in states/eV/atom: 0.422

---

# 12
CaDyMg17 after structural relaxation. Source: Alexandria via LeMat-Bulk, functional PBE.

POSCAR file:
```
CaDyMg17
1.0
5.151 2.974 5.086
-5.151 2.974 5.086
0.000 -5.948 5.086
Ca Dy Mg
1 1 17
Direct
0.000 0.000 0.000 Ca
0.335 0.335 0.335 Dy
0.019 0.019 0.505 Mg
0.019 0.505 0.019 Mg
0.168 0.662 0.662 Mg
0.313 0.313 0.823 Mg
0.313 0.823 0.313 Mg
0.364 0.663 0.968 Mg
0.364 0.968 0.663 Mg
0.505 0.019 0.019 Mg
0.564 0.564 0.564 Mg
0.662 0.168 0.662 Mg
0.662 0.662 0.168 Mg
0.663 0.364 0.968 Mg
0.663 0.968 0.364 Mg
0.765 0.765 0.765 Mg
0.823 0.313 0.313 Mg
0.968 0.364 0.663 Mg
0.968 0.663 0.364 Mg
```

Properties
Formation energy in eV per atom: -0.0203
Symmetry: No. 160
Crystal system: trigonal
DOS at the Fermi energy in states/eV/atom: 0.469

---

# 13
ZrAsHBr2 after structural relaxation. Source: Alexandria via LeMat-Bulk, functional PBE.

POSCAR file:
```
ZrAsHBr2
1.0
5.058 0.000 0.000
0.000 5.058 0.000
0.000 0.000 3.565
Zr As H Br
1 1 1 2
Direct
0.000 0.000 0.000 Zr
0.500 0.500 0.000 As
0.500 0.500 0.500 H
0.000 0.500 0.500 Br
0.500 0.000 0.500 Br
```

Properties
Symmetry: No. 123
Crystal system: tetragonal
DOS at the Fermi energy in states/eV/atom: 0.699
Distance to the lowest polymorph of the same formula in meV/atom: 227.2

---

# 14
Ac2PmUN5 after structural relaxation. Source: Alexandria via LeMat-Bulk, functional PBE.

POSCAR file:
```
Ac2PmUN5
1.0
4.175 0.000 0.000
0.000 4.175 0.000
0.000 0.000 9.338
Ac Pm U N
2 1 1 5
Direct
0.000 0.000 0.226 Ac
0.000 0.000 0.774 Ac
0.500 0.500 0.500 Pm
0.500 0.500 0.000 U
0.000 0.000 0.500 N
0.000 0.500 0.000 N
0.500 0.000 0.000 N
0.500 0.500 0.245 N
0.500 0.500 0.755 N
```

Properties
Symmetry: No. 123
DFT total energy in eV/cell: -77.02
Crystal system: tetragonal
DOS at the Fermi energy in states/eV/atom: 0.055

---

# 15
Cr2AsRu after structural relaxation. Source: Alexandria via LeMat-Bulk, functional PBE.

POSCAR file:
```
Cr2AsRu
1.0
3.768 0.000 0.000
0.000 3.768 0.000
0.000 0.000 3.799
Cr As Ru
2 1 1
Direct
0.000 0.500 0.000 Cr
0.500 0.000 0.000 Cr
0.000 0.000 0.500 As
0.500 0.500 0.500 Ru
```

Properties
Formation energy in eV per atom: 0.1622
Symmetry: No. 123
Crystal system: tetragonal
DOS at the Fermi energy in states/eV/atom: 1.716

---

# 16
LuThIr after structural relaxation. Source: Alexandria via LeMat-Bulk, functional PBE.

POSCAR file:
```
LuThIr
1.0
-1.758 1.758 6.088
1.758 -1.758 6.088
1.758 1.758 -6.088
Lu Th Ir
1 1 1
Direct
0.000 0.000 0.000 Lu
0.728 0.728 0.000 Th
0.367 0.367 0.000 Ir
```

Properties
Formation energy in eV per atom: -0.5302
Symmetry: No. 107
Crystal system: tetragonal
DOS at the Fermi energy in states/eV/atom: 1.315
Distance to the lowest polymorph of the same formula in meV/atom: 113.0